No. 1
A geometry-optimized K2PuS2Br2 structure. Source: the Alexandria database, functional PBE.

abc: 9.2906 9.2906 9.2906
angles: 147.46 147.46 46.69
Atoms (fractional coordinates):
K1 0.1333 0.1333 0.0000
K2 0.8667 0.8667 0.0000
Pu1 0.5000 0.5000 0.0000
S1 0.0000 0.5000 0.5000
S2 0.5000 0.0000 0.5000
Br1 0.3303 0.3303 0.0000
Br2 0.6697 0.6697 0.0000

Values from the calculation:
- Formation energy (no corrections): -1.519 eV per atom
- DOS(E_F): 7.8 states/eV per cell

No. 2
A geometry-optimized LiSmGe structure. Source: the Alexandria database, functional PBE.

abc: 6.1420 6.1420 6.1420
angles: 147.97 147.97 45.94
Atoms (fractional coordinates):
Li1 0.0000 0.0000 0.0000
Sm1 0.2869 0.2869 0.0000
Ge1 0.6092 0.6092 0.0000

Values from the calculation:
- DOS(E_F): 1.1 states/eV per cell
- Formation enthalpy at 0 K: -0.308 eV per atom

No. 3
A geometry-optimized Nd7Y2Sc structure. Source: the Alexandria database, functional PBE.

abc: 9.7987 9.7987 5.2608
angles: 90.00 90.00 126.72
Atoms (fractional coordinates):
Nd1 0.0000 0.0000 0.0000
Nd2 0.2148 0.4252 0.0000
Nd3 0.3063 0.6937 0.5000
Nd4 0.4252 0.2148 0.0000
Nd5 0.5748 0.7852 0.0000
Nd6 0.6937 0.3063 0.5000
Nd7 0.7852 0.5748 0.0000
Y1 0.2054 0.7946 0.0000
Y2 0.7946 0.2054 0.0000
Sc1 0.5000 0.5000 0.5000

Values from the calculation:
- DOS(E_F): 15.3 states/eV per cell
- Formation enthalpy at 0 K: 0.654 eV per atom

No. 4
A geometry-optimized HoEr2In structure. Source: the Alexandria database, functional PBE.

abc: 3.5521 3.5521 9.1227
angles: 90.00 90.00 90.00
Atoms (fractional coordinates):
Ho1 0.0000 0.0000 0.0000
Er1 0.5000 0.5000 0.2715
Er2 0.5000 0.5000 0.7285
In1 0.0000 0.0000 0.5000

Values from the calculation:
- DOS(E_F): 4.3 states/eV per cell
- Formation enthalpy at 0 K: -0.232 eV per atom
- ΔE to the lowest computed polymorph: 31.3 meV per atom

No. 5
A geometry-optimized KP2Au structure. Source: the Alexandria database, functional PBE.

abc: 6.6266 5.3972 12.7598
angles: 90.00 108.38 90.00
Atoms (fractional coordinates):
K1 0.2276 0.2014 0.2226
K2 0.2276 0.2986 0.7226
K3 0.7724 0.7014 0.2774
K4 0.7724 0.7986 0.7774
P1 0.0942 0.0856 0.4471
P2 0.0942 0.4144 0.9471
P3 0.3947 0.5941 0.0439
P4 0.3947 0.9059 0.5439
P5 0.6053 0.0941 0.4561
P6 0.6053 0.4059 0.9561
P7 0.9058 0.5856 0.0529
P8 0.9058 0.9144 0.5529
Au1 0.2510 0.0021 0.9879
Au2 0.2510 0.4979 0.4879
Au3 0.7490 0.5021 0.5121
Au4 0.7490 0.9979 0.0121

Values from the calculation:
- Formation enthalpy at 0 K: -0.257 eV per atom
- ΔE to the lowest computed polymorph: 65.4 meV per atom

No. 6
A geometry-optimized Pr4SnSe2Br structure. Source: the Alexandria database, functional PBE.

abc: 7.5781 4.3522 7.6194
angles: 90.00 109.05 90.00
Atoms (fractional coordinates):
Pr1 0.2295 0.0000 0.2237
Pr2 0.2476 0.5000 0.7678
Pr3 0.7524 0.5000 0.2322
Pr4 0.7705 0.0000 0.7763
Sn1 0.0000 0.0000 0.5000
Se1 0.0000 0.5000 0.0000
Se2 0.5000 0.0000 0.0000
Br1 0.5000 0.5000 0.5000

Values from the calculation:
- Formation energy (no corrections): -1.426 eV per atom
- DOS(E_F): 3.5 states/eV per cell

Question: What is the formula in the third record?
Answer: Nd7Y2Sc